(1)
# OsN2Cl8 | Alexandria | PBE | optimized geometry
# formation energy without anion corrections: 87 meV per atom
# size of the total moment: 2.1 μB/f.u.
# uncorrected energy: -41.70 eV per cell
data_OsN2Cl8
_chemical_formula_sum 'Os1 N2 Cl8'
_cell_length_a 7.391
_cell_length_b 7.396
_cell_length_c 7.487
_cell_angle_alpha 112.23
_cell_angle_beta 111.51
_cell_angle_gamma 103.60
_space_group_name_H-M_alt 'P -1'
_space_group_IT_number 2
loop_
_space_group_symop_operation_xyz
'x,y,z'
'-x,-y,-z'
loop_
_atom_site_label
_atom_site_fract_x
_atom_site_fract_y
_atom_site_fract_z
Os1 0.000 0.000 0.000
N1 0.158 0.157 0.901
Cl1 0.041 0.326 0.264
Cl2 0.111 0.351 0.852
Cl3 0.323 0.044 0.265
Cl4 0.352 0.108 0.852

(2)
# OsNCl2 | Alexandria | PBE | optimized geometry
# formation energy without anion corrections: 1494 meV per atom
# excess energy over the best structure of this formula in the dataset: 0.00 eV/f.u.
# size of the total moment: 3.0 μB/f.u.
# uncorrected energy: -51.82 eV per cell
data_OsNCl2
_chemical_formula_sum 'Os3 N3 Cl6'
_cell_length_a 2.9727
_cell_length_b 2.9727
_cell_length_c 32.7422
_cell_angle_alpha 90.00
_cell_angle_beta 90.00
_cell_angle_gamma 120.00
_space_group_name_H-M_alt 'R -3 m'
_space_group_IT_number 166
_space_group_name_Hall '-R 3 2"'
loop_
_atom_site_label
_atom_site_fract_x
_atom_site_fract_y
_atom_site_fract_z
Os1 0.0000 0.0000 0.0000
N1 0.0000 0.0000 0.5000
Cl1 0.0000 0.0000 0.0674

(3)
# OsN2Cl | Alexandria | PBE | optimized geometry
# formation energy without anion corrections: 893 meV per atom
# excess energy over the best structure of this formula in the dataset: 0.00 eV/f.u.
# size of the total moment: 0.7 μB/f.u.
# uncorrected energy: -78.47 eV per cell
data_OsN2Cl
_chemical_formula_sum 'Os3 N6 Cl3'
_cell_length_a 3.0846
_cell_length_b 3.0846
_cell_length_c 18.3555
_cell_angle_alpha 90.00
_cell_angle_beta 90.00
_cell_angle_gamma 120.00
_space_group_name_H-M_alt 'R -3 m'
_space_group_IT_number 166
_space_group_name_Hall '-R 3 2"'
loop_
_atom_site_label
_atom_site_fract_x
_atom_site_fract_y
_atom_site_fract_z
Os1 0.0000 0.0000 0.0000
N1 0.0000 0.0000 0.3909
Cl1 0.0000 0.0000 0.5000

(4)
# Os2N2Cl7 | Alexandria | PBE | optimized geometry
# formation energy without anion corrections: -261 meV per atom
# size of the total moment: 3.0 μB/f.u.
# uncorrected energy: -54.91 eV per cell
data_Os2N2Cl7
_chemical_formula_sum 'Os2 N2 Cl7'
_cell_length_a 3.621
_cell_length_b 9.602
_cell_length_c 9.664
_cell_angle_alpha 68.56
_cell_angle_beta 89.61
_cell_angle_gamma 89.91
_space_group_name_H-M_alt 'P 1'
_space_group_IT_number 1
loop_
_space_group_symop_operation_xyz
'x,y,z'
loop_
_atom_site_label
_atom_site_fract_x
_atom_site_fract_y
_atom_site_fract_z
Os1 0.000 0.000 0.000
Os2 0.007 0.720 0.719
N1 0.337 0.310 0.410
N2 0.371 0.410 0.306
Cl1 0.002 0.773 0.946
Cl2 0.010 0.650 0.519
Cl3 0.498 0.891 0.165
Cl4 0.503 0.101 0.835
Cl5 0.505 0.554 0.826
Cl6 0.508 0.887 0.620
Cl7 0.997 0.200 0.072

(5)
# OsN2Cl | Alexandria | PBE | optimized geometry
# formation energy without anion corrections: 2315 meV per atom
# excess energy over the best structure of this formula in the dataset: 5.69 eV/f.u.
# size of the total moment: 0.0 μB/f.u.
# uncorrected energy: -81.87 eV per cell
data_OsN2Cl
_chemical_formula_sum 'Os4 N8 Cl4'
_cell_length_a 5.461
_cell_length_b 5.461
_cell_length_c 5.461
_cell_angle_alpha 90.00
_cell_angle_beta 90.00
_cell_angle_gamma 90.00
_space_group_name_H-M_alt 'F m -3 m'
_space_group_IT_number 225
_space_group_name_Hall '-F 4 2 3'
loop_
_atom_site_label
_atom_site_fract_x
_atom_site_fract_y
_atom_site_fract_z
Os1 0.000 0.000 0.000
N1 0.250 0.250 0.250
Cl1 0.000 0.000 0.500

(6)
# Os2PdNCl | Alexandria | PBE | optimized geometry
# formation energy without anion corrections: 1008 meV per atom
# size of the total moment: 1.8 μB/f.u.
# uncorrected energy: -32.78 eV per cell
data_Os2PdNCl
_chemical_formula_sum 'Os2 Pd1 N1 Cl1'
_cell_length_a 3.833
_cell_length_b 3.833
_cell_length_c 5.962
_cell_angle_alpha 90.00
_cell_angle_beta 90.00
_cell_angle_gamma 90.00
_space_group_name_H-M_alt 'P 4/m m m'
_space_group_IT_number 123
_space_group_name_Hall '-P 4 2'
loop_
_atom_site_label
_atom_site_fract_x
_atom_site_fract_y
_atom_site_fract_z
Os1 0.000 0.500 0.000
Pd1 0.000 0.000 0.500
N1 0.500 0.500 0.000
Cl1 0.500 0.500 0.500

(7)
# Pm6Os2NCl3 | Alexandria | PBE | optimized geometry
# formation energy without anion corrections: -998 meV per atom
# size of the total moment: 0.0 μB/f.u.
# uncorrected energy: -153.61 eV per cell
data_Pm6Os2NCl3
_chemical_formula_sum 'Pm12 Os4 N2 Cl6'
_cell_length_a 6.873
_cell_length_b 11.941
_cell_length_c 7.730
_cell_angle_alpha 90.00
_cell_angle_beta 106.89
_cell_angle_gamma 90.00
_space_group_name_H-M_alt 'C 1 2/m 1'
_space_group_IT_number 12
loop_
_space_group_symop_operation_xyz
'x,y,z'
'-x,-y,-z'
'-x,y,-z'
'x,-y,z'
'x+1/2,y+1/2,z'
'-x+1/2,-y+1/2,-z'
'-x+1/2,y+1/2,-z'
'x+1/2,-y+1/2,z'
loop_
_atom_site_label
_atom_site_fract_x
_atom_site_fract_y
_atom_site_fract_z
Pm1 0.216 0.154 0.195
Pm2 0.245 0.500 0.194
Os1 0.000 0.331 0.000
N1 0.000 0.000 0.000
Cl1 0.000 0.159 0.500
Cl2 0.000 0.500 0.500

(8)
# Pr8Os3NCl4 | Alexandria | PBE | optimized geometry
# formation energy without anion corrections: -906 meV per atom
# size of the total moment: 0.0 μB/f.u.
# uncorrected energy: -306.39 eV per cell
data_Pr8Os3NCl4
_chemical_formula_sum 'Pr24 Os9 N3 Cl12'
_cell_length_a 8.0891
_cell_length_b 8.0891
_cell_length_c 22.8010
_cell_angle_alpha 90.00
_cell_angle_beta 90.00
_cell_angle_gamma 120.00
_space_group_name_H-M_alt 'R -3 m'
_space_group_IT_number 166
_space_group_name_Hall '-R 3 2"'
loop_
_atom_site_label
_atom_site_fract_x
_atom_site_fract_y
_atom_site_fract_z
Pr1 0.0000 0.0000 0.2389
Pr2 0.0176 0.5088 0.2308
Os1 0.0000 0.5000 0.5000
N1 0.0000 0.0000 0.5000
Cl1 0.0000 0.0000 0.0000
Cl2 0.0000 0.5000 0.0000

(9)
# Pr6Os2NCl3 | Alexandria | PBE | optimized geometry
# formation energy without anion corrections: -975 meV per atom
# size of the total moment: 0.0 μB/f.u.
# uncorrected energy: -153.39 eV per cell
data_Pr6Os2NCl3
_chemical_formula_sum 'Pr12 Os4 N2 Cl6'
_cell_length_a 6.973
_cell_length_b 12.076
_cell_length_c 7.859
_cell_angle_alpha 90.00
_cell_angle_beta 107.18
_cell_angle_gamma 90.00
_space_group_name_H-M_alt 'C 1 2/m 1'
_space_group_IT_number 12
loop_
_space_group_symop_operation_xyz
'x,y,z'
'-x,-y,-z'
'-x,y,-z'
'x,-y,z'
'x+1/2,y+1/2,z'
'-x+1/2,-y+1/2,-z'
'-x+1/2,y+1/2,-z'
'x+1/2,-y+1/2,z'
loop_
_atom_site_label
_atom_site_fract_x
_atom_site_fract_y
_atom_site_fract_z
Pr1 0.219 0.155 0.197
Pr2 0.249 0.500 0.196
Os1 0.000 0.332 0.000
N1 0.000 0.000 0.000
Cl1 0.000 0.163 0.500
Cl2 0.000 0.500 0.500

(10)
# OsPtN4Cl6 | Alexandria | PBE | optimized geometry
# formation energy without anion corrections: 995 meV per atom
# size of the total moment: 2.0 μB/f.u.
# uncorrected energy: -198.84 eV per cell
data_OsPtN4Cl6
_chemical_formula_sum 'Os4 Pt4 N16 Cl24'
_cell_length_a 11.953
_cell_length_b 10.930
_cell_length_c 9.216
_cell_angle_alpha 90.00
_cell_angle_beta 90.00
_cell_angle_gamma 90.00
_space_group_name_H-M_alt 'C m c e'
_space_group_IT_number 64
_space_group_name_Hall '-C 2ac 2'
loop_
_atom_site_label
_atom_site_fract_x
_atom_site_fract_y
_atom_site_fract_z
Os1 0.000 0.000 0.000
Pt1 0.000 0.000 0.500
N1 0.105 0.044 0.347
Cl1 0.000 0.093 0.230
Cl2 0.136 0.136 0.921

(11)
# Rb2OsNCl6 | Alexandria | PBE | optimized geometry
# formation energy without anion corrections: -390 meV per atom
# size of the total moment: 1.9 μB/f.u.
# uncorrected energy: -72.93 eV per cell
data_Rb2OsNCl6
_chemical_formula_sum 'Rb4 Os2 N2 Cl12'
_cell_length_a 7.756
_cell_length_b 7.756
_cell_length_c 9.094
_cell_angle_alpha 90.00
_cell_angle_beta 90.00
_cell_angle_gamma 90.00
_space_group_name_H-M_alt 'I 4/m m m'
_space_group_IT_number 139
_space_group_name_Hall '-I 4 2'
loop_
_atom_site_label
_atom_site_fract_x
_atom_site_fract_y
_atom_site_fract_z
Rb1 0.000 0.500 0.250
Os1 0.000 0.000 0.000
N1 0.000 0.000 0.500
Cl1 0.000 0.000 0.269
Cl2 0.215 0.215 0.000

(12)
# OsSNCl2 | Alexandria | PBE | optimized geometry
# formation energy without anion corrections: 1879 meV per atom
# excess energy over the best structure of this formula in the dataset: 1.64 eV/f.u.
# size of the total moment: 3.4 μB/f.u.
# uncorrected energy: -17.98 eV per cell
data_OsSNCl2
_chemical_formula_sum 'Os1 S1 N1 Cl2'
_cell_length_a 4.100
_cell_length_b 4.100
_cell_length_c 4.739
_cell_angle_alpha 90.00
_cell_angle_beta 90.00
_cell_angle_gamma 90.00
_space_group_name_H-M_alt 'P 4/m m m'
_space_group_IT_number 123
_space_group_name_Hall '-P 4 2'
loop_
_atom_site_label
_atom_site_fract_x
_atom_site_fract_y
_atom_site_fract_z
Os1 0.000 0.000 0.000
S1 0.500 0.500 0.000
N1 0.500 0.500 0.500
Cl1 0.000 0.500 0.500